Density functional theory data (GGA-PBE) for Li3HfSc2Te6 after structural relaxation.

extended XYZ file:
```
12
Lattice="3.560 -6.166 0.000 3.560 6.166 0.000 -2.375 0.000 7.030" Properties=species:S:1:pos:R:3 pbc="T T T"
Li 0.000 0.000 0.000
Li 3.560 2.044 0.000
Li 3.560 -2.044 0.000
Hf 2.373 0.000 3.515
Sc 2.373 4.109 3.515
Sc 2.373 -4.109 3.515
Te 1.197 2.035 1.783
Te 0.022 0.000 5.243
Te 1.197 -2.035 1.783
Te 3.548 2.035 5.247
Te 4.723 0.000 1.788
Te 3.548 -2.035 5.247
```

Calculated values
DFT total energy in eV for the cell shown: -59.89
Total magnetic moment in μB per formula unit: 0.00